No. 1
Material: HgC2
Method: DFT, GGA-PBEsol
State: optimized geometry

It has space group Cmmm (No. 65), with a = 3.388 Å, b = 19.098 Å, c = 2.571 Å, α = 90.00°, β = 90.00° and γ = 90.00°. The asymmetric unit holds Hg at (0.000, 0.173, 0.000), C at (0.000, 0.000, 0.500), C at (0.000, 0.450, 0.500) and C at (0.000, 0.500, 0.000).

As for the density of states at the Fermi level: 2.96 states/eV/cell. The raw total energy comes out at -52.7 eV per cell. As for the energy relative to the elements: 2.23 eV/atom. For the excess energy over the best structure of this formula in the dataset, the calculation gives 1591.7 meV/atom.

---

No. 2
Material: Ti3FeCu
Method: DFT, GGA-PBEsol
State: optimized geometry

It has space group Pm-3m (No. 221), with a = 4.493 Å, b = 4.493 Å, c = 4.493 Å, α = 90.00°, β = 90.00° and γ = 90.00°. The asymmetric unit holds Ti at (0.000, 0.000, 0.500), Fe at (0.500, 0.500, 0.500) and Cu at (0.000, 0.000, 0.000).

As for the density of states at the Fermi level: 10.97 states/eV/cell. The raw total energy comes out at -33.3 eV per cell. As for the energy relative to the elements: 1.00 eV/atom.

---

No. 3
Material: Ta2CrRh
Method: DFT, GGA-PBEsol
State: optimized geometry

It has space group Pmmm (No. 47), with a = 3.248 Å, b = 4.167 Å, c = 4.476 Å, α = 90.00°, β = 90.00° and γ = 90.00°. The asymmetric unit holds Ta at (0.000, 0.000, 0.000), Ta at (0.500, 0.000, 0.500), Cr at (0.000, 0.500, 0.500) and Rh at (0.500, 0.500, 0.000).

As for the density of states at the Fermi level: 3.59 states/eV/cell. The raw total energy comes out at -43.7 eV per cell. As for the energy relative to the elements: -0.05 eV/atom.

---

No. 4
Material: TlWBr
Method: DFT, GGA-PBEsol
State: optimized geometry

It has space group P-6m2 (No. 187), with a = 4.7114 Å, b = 4.7114 Å, c = 3.0426 Å, α = 90.00°, β = 90.00° and γ = 120.00°. The asymmetric unit holds Tl at (0.0000, 0.0000, 0.0000), W at (0.3333, 0.6667, 0.5000) and Br at (0.6667, 0.3333, 0.5000).

As for the density of states at the Fermi level: 2.28 states/eV/cell. The raw total energy comes out at -15.4 eV per cell. For the uncorrected formation energy, the calculation gives 2.9 eV per formula unit. For the excess energy over the best structure of this formula in the dataset, the calculation gives 0.0 meV/atom.

---

No. 5
Material: ZrTaF3
Method: DFT, GGA-PBEsol
State: optimized geometry

It has space group Pm-3m (No. 221), with a = 4.299 Å, b = 4.299 Å, c = 4.299 Å, α = 90.00°, β = 90.00° and γ = 90.00°. The asymmetric unit holds Zr at (0.000, 0.000, 0.000), Ta at (0.500, 0.500, 0.500) and F at (0.000, 0.000, 0.500).

As for the density of states at the Fermi level: 3.48 states/eV/cell. The raw total energy comes out at -32.9 eV per cell. For the uncorrected formation energy, the calculation gives -5.4 eV per formula unit.

---

No. 6
Material: ScAgTe2
Method: DFT, GGA-PBEsol
State: optimized geometry

It has space group P-4m2 (No. 115), with a = 4.466 Å, b = 4.466 Å, c = 6.064 Å, α = 90.00°, β = 90.00° and γ = 90.00°. The asymmetric unit holds Sc at (0.000, 0.000, 0.000), Ag at (0.500, 0.500, 0.000) and Te at (0.000, 0.500, 0.722).

The raw total energy comes out at -19.8 eV per cell. For the uncorrected formation energy, the calculation gives -2.8 eV per formula unit.

---

The highest raw total energy belongs to which entry? TlWBr

---

Look up the raw total energy of the second one. -33.3 eV per cell